No. 1
CaMgPd: relaxed, GGA-PBE.

## Properties
volume: 409 Å³/cell
density: 4.16 g/cm³
formation energy from the elements: -613 meV/atom
magnetization: 0.0000 μB/atom

abc: 7.4025 4.3351 12.7357
angles: 90.00 90.53 90.00
Last column: nearest neighbours and their distance in Å.
Fractional positions:
Ca (0.0274, 0.2500, 0.2120)  5 Pd 2.96-3.13, 2 Mg 3.31
Ca (0.3509, 0.7500, 0.5816)  5 Pd 3.10-3.17, 5 Mg 3.35-3.41
Ca (0.4698, 0.7500, 0.8790)  5 Pd 3.10-3.14, 4 Mg 3.37-3.42
Ca (0.5302, 0.2500, 0.1210)  5 Pd 3.10-3.14, 4 Mg 3.37-3.42
Ca (0.6491, 0.2500, 0.4184)  5 Pd 3.10-3.17, 5 Mg 3.35-3.41
Ca (0.9726, 0.7500, 0.7880)  5 Pd 2.96-3.13, 2 Mg 3.31
Mg (0.0066, 0.2500, 0.5872)  4 Pd 2.78-2.82, 3 Mg 3.10-3.11
Mg (0.1417, 0.2500, 0.9589)  4 Pd 2.75-2.83
Mg (0.3607, 0.7500, 0.2967)  4 Pd 2.80-2.90, 1 Mg 3.11
Mg (0.6393, 0.2500, 0.7033)  4 Pd 2.80-2.90, 1 Mg 3.11
Mg (0.8583, 0.7500, 0.0411)  4 Pd 2.75-2.83
Mg (0.9934, 0.7500, 0.4128)  4 Pd 2.78-2.82, 3 Mg 3.10-3.11
Pd (0.2309, 0.2500, 0.4134)  5 Mg 2.78-2.80, 2 Ca 2.96-3.10
Pd (0.2312, 0.7500, 0.0812)  4 Mg 2.75-2.90
Pd (0.2676, 0.2500, 0.7495)  3 Mg 2.82-2.83, 6 Ca 3.10-3.12
Pd (0.7324, 0.7500, 0.2505)  3 Mg 2.82-2.83, 6 Ca 3.10-3.12
Pd (0.7688, 0.2500, 0.9188)  4 Mg 2.75-2.90
Pd (0.7691, 0.7500, 0.5866)  5 Mg 2.78-2.80, 2 Ca 2.96-3.10

=====

No. 2
Ba4TmPd3O12: relaxed, GGA-PBE.

## Properties
volume: 289 Å³/cell
formation energy from raw total energies: -1.70 eV/atom
density: 7.07 g/cm³
magnetization: 0.0880 μB/atom

abc: 7.2105 7.2105 7.2105
angles: 109.47 109.47 109.47
Last column: nearest neighbours and their distance in Å.
Fractional positions:
Ba (0.0000, 0.0000, 0.5000)  12 O 2.94
Ba (0.0000, 0.5000, 0.0000)  12 O 2.94
Ba (0.5000, 0.0000, 0.0000)  12 O 2.94
Ba (0.5000, 0.5000, 0.5000)  12 O 2.94
Tm (0.0000, 0.0000, 0.0000)  6 O 2.17
Pd (0.0000, 0.5000, 0.5000)  6 O 1.99-2.08
Pd (0.5000, 0.0000, 0.5000)  6 O 1.99-2.08
Pd (0.5000, 0.5000, 0.0000)  6 O 1.99-2.08
O (0.0000, 0.2605, 0.2605)  1 Pd 1.99, 1 Tm 2.17
O (0.0000, 0.7395, 0.7395)  1 Pd 1.99, 1 Tm 2.17
O (0.2500, 0.5000, 0.7500)  2 Pd 2.08
O (0.2500, 0.7500, 0.5000)  2 Pd 2.08
O (0.2605, 0.0000, 0.2605)  1 Pd 1.99, 1 Tm 2.17
O (0.2605, 0.2605, 0.0000)  1 Pd 1.99, 1 Tm 2.17
O (0.5000, 0.2500, 0.7500)  2 Pd 2.08
O (0.5000, 0.7500, 0.2500)  2 Pd 2.08
O (0.7395, 0.0000, 0.7395)  1 Pd 1.99, 1 Tm 2.17
O (0.7395, 0.7395, 0.0000)  1 Pd 1.99, 1 Tm 2.17
O (0.7500, 0.2500, 0.5000)  2 Pd 2.08
O (0.7500, 0.5000, 0.2500)  2 Pd 2.08

=====

No. 3
CsMg6Si: relaxed, GGA-PBE.

## Properties
volume: 249 Å³/cell
formation energy from raw total energies: 0.19 eV/atom
polymorph energy (0 for the lowest one): 0.029 eV per atom
density: 2.05 g/cm³
magnetization: 0.0000 μB/atom

abc: 4.4270 9.5258 9.5258
angles: 38.32 90.00 90.00
Last column: nearest neighbours and their distance in Å.
Fractional positions:
Cs (0.0000, 0.0000, 0.0000)  4 Mg 3.79-3.90, 2 Si 3.92
Mg (0.0000, 0.3812, 0.3812)  4 Mg 3.02
Mg (0.0000, 0.4505, 0.9465)  2 Si 2.74, 4 Mg 3.02-3.06
Mg (0.0000, 0.9465, 0.4505)  2 Si 2.74, 4 Mg 3.02-3.06
Mg (0.5000, 0.0514, 0.5736)  1 Si 2.89, 5 Mg 2.99-3.02
Mg (0.5000, 0.5736, 0.0514)  1 Si 2.89, 5 Mg 2.99-3.02
Mg (0.5000, 0.6184, 0.6184)  4 Mg 3.06, 2 Si 3.32
Si (0.5000, 0.1797, 0.1797)  6 Mg 2.74-2.89

=====

No. 4
Zr3SiBi: relaxed, GGA-PBE.

## Properties
volume: 124 Å³/cell
formation energy from raw total energies: 0.00 eV/atom
polymorph energy (0 for the lowest one): 0.000 eV per atom
density: 6.82 g/cm³
magnetization: 0.0000 μB/atom

abc: 4.9904 4.9904 4.9904
angles: 90.00 90.00 90.00
Last column: nearest neighbours and their distance in Å.
Fractional positions:
Zr (0.0000, 0.0000, 0.5000)  2 Si 2.50
Zr (0.0000, 0.5000, 0.0000)  2 Si 2.50
Zr (0.5000, 0.0000, 0.0000)  2 Si 2.50
Si (0.0000, 0.0000, 0.0000)  6 Zr 2.50
Bi (0.5000, 0.5000, 0.5000)  12 Zr 3.53

=====

No. 5
CuTe2As: relaxed, GGA-PBE.

## Properties
volume: 94 Å³/cell
formation energy from raw total energies: 0.07 eV/atom
density: 6.94 g/cm³
magnetization: 0.0000 μB/atom

abc: 4.1068 4.1068 5.5871
angles: 90.00 90.00 90.00
Last column: nearest neighbours and their distance in Å.
Fractional positions:
Cu (0.0000, 0.0000, 0.0000)  6 Te 2.79-2.90
Te (0.0000, 0.0000, 0.5006)  2 Cu 2.79-2.80, 4 As 2.90
Te (0.5000, 0.5000, 0.0006)  2 As 2.79-2.80, 4 Cu 2.90
As (0.5000, 0.5000, 0.5015)  6 Te 2.79-2.90

=====

No. 6
AcCu2AsSe4: relaxed, GGA-PBE.

## Properties
volume: 200 Å³/cell
formation energy from raw total energies: -0.61 eV/atom
density: 6.17 g/cm³
magnetization: 0.0000 μB/atom

abc: 6.4140 6.4140 6.4140
angles: 116.07 109.96 102.66
Last column: nearest neighbours and their distance in Å.
Fractional positions:
Ac (0.0000, 0.0000, 0.0000)  8 Se 3.26-3.28
Cu (0.3362, 0.8362, 0.5000)  2 Se 2.34
Cu (0.6638, 0.1638, 0.5000)  2 Se 2.34
As (0.5000, 0.5000, 0.0000)  4 Se 2.61
Se (0.1142, 0.0791, 0.5752)  1 Cu 2.34, 1 As 2.61
Se (0.4961, 0.9209, 0.0351)  1 Cu 2.34, 1 As 2.61
Se (0.5039, 0.5390, 0.4248)  1 Cu 2.34, 1 As 2.61
Se (0.8858, 0.4610, 0.9649)  1 Cu 2.34, 1 As 2.61